[1]
VASP calculation (PBE) on a relaxed CrB2Te crystal. Values from VASP.

Values from the calculation:
The calculated volume is 124.1 Å³/cell. The total energy is -44.229 eV/cell. As for the space-group type: No. 122. For the energy relative to the elements, uncorrected, the calculation gives 4.0 eV/f.u.

Quantum ESPRESSO input file:
```
&SYSTEM
  ibrav = 0, nat = 8, ntyp = 3
/
ATOMIC_SPECIES
B 10.81 B.upf
Te 127.60 Te.upf
Cr 52.00 Cr.upf
ATOMIC_POSITIONS crystal
B 0.375 0.420 0.750
Te 0.750 0.250 0.500
Cr 0.250 0.750 0.500
B 0.875 0.830 0.750
Te 0.000 0.000 0.000
B 0.580 0.125 0.250
Cr 0.500 0.500 0.000
B 0.170 0.625 0.250
CELL_PARAMETERS angstrom
-4.647 0.062 -2.020
1.117 -4.143 -2.696
-3.372 -4.823 1.252
```

=====

[2]
VASP calculation (PBE) on a relaxed TaTl2OsSe crystal. Values from VASP.

Values from the calculation:
The calculated volume is 150.6 Å³/cell. The total energy is -23.750 eV/cell. As for the space-group type: No. 123. For the energy relative to the elements, uncorrected, the calculation gives 7.5 eV/f.u.

Quantum ESPRESSO input file:
```
&SYSTEM
  ibrav = 0, nat = 5, ntyp = 4
/
ATOMIC_SPECIES
Ta 180.95 Ta.upf
Tl 204.38 Tl.upf
Os 190.23 Os.upf
Se 78.96 Se.upf
ATOMIC_POSITIONS crystal
Ta 0.000 0.000 0.000
Tl 0.500 0.000 0.000
Os 0.500 0.500 0.500
Se 0.000 0.500 0.000
Tl 0.000 0.000 0.500
CELL_PARAMETERS angstrom
5.596 0.000 0.000
0.000 4.808 0.000
0.000 0.000 5.596
```

=====

[3]
VASP calculation (PBE) on a relaxed MgAlHg2Se4 crystal. Values from VASP.

Values from the calculation:
The calculated volume is 231.0 Å³/cell. The total energy is -24.474 eV/cell. As for the space-group type: No. 82. For the energy relative to the elements, uncorrected, the calculation gives -4.6 eV/f.u.

Quantum ESPRESSO input file:
```
&SYSTEM
  ibrav = 0, nat = 8, ntyp = 4
/
ATOMIC_SPECIES
Se 78.96 Se.upf
Hg 200.59 Hg.upf
Mg 24.30 Mg.upf
Al 26.98 Al.upf
ATOMIC_POSITIONS crystal
Se 0.384 0.825 0.227
Se 0.842 0.402 0.227
Hg 0.486 0.986 0.972
Se 0.070 0.087 0.717
Hg 0.236 0.236 0.472
Mg 0.986 0.486 0.972
Se 0.647 0.630 0.717
Al 0.736 0.736 0.472
CELL_PARAMETERS angstrom
6.296 0.000 -0.004
-0.002 6.295 -0.003
-3.144 -3.144 5.832
```

=====

[4]
VASP calculation (PBE) on a relaxed Y3Co4 crystal. Values from VASP.

Values from the calculation:
The calculated volume is 132.1 Å³/cell. The calculation puts the energy of formation at 98 meV/atom. The total energy is -47.133 eV/cell. As for the energy above the most stable polymorph in this dataset: 0.294 eV per atom. As for the space-group type: No. 139.

Quantum ESPRESSO input file:
```
&SYSTEM
  ibrav = 0, nat = 7, ntyp = 2
/
ATOMIC_SPECIES
Co 58.93 Co.upf
Y 88.91 Y.upf
ATOMIC_POSITIONS crystal
Co 0.422 0.422 0.000
Co 0.886 0.886 0.000
Co 0.114 0.114 0.000
Y 0.000 0.000 0.000
Co 0.578 0.578 0.000
Y 0.310 0.310 0.000
Y 0.690 0.690 0.000
CELL_PARAMETERS angstrom
9.692 8.494 -0.348
6.251 11.243 0.849
-7.533 -10.279 1.951
```

=====

[5]
VASP calculation (PBE) on a relaxed BeIn4Se crystal. Values from VASP.

Values from the calculation:
The calculated volume is 161.0 Å³/cell. The total energy is -14.836 eV/cell. As for the space-group type: No. 216. For the energy relative to the elements, uncorrected, the calculation gives 3.3 eV/f.u.

Quantum ESPRESSO input file:
```
&SYSTEM
  ibrav = 0, nat = 6, ntyp = 3
/
ATOMIC_SPECIES
In 114.82 In.upf
Be 9.01 Be.upf
Se 78.96 Se.upf
ATOMIC_POSITIONS crystal
In 0.375 0.375 0.375
In 0.875 0.375 0.375
Be 0.000 0.000 0.000
In 0.375 0.875 0.375
In 0.375 0.375 0.875
Se 0.750 0.750 0.750
CELL_PARAMETERS angstrom
-1.902 -3.187 4.850
0.055 2.556 5.546
-5.258 1.460 2.742
```

=====

[6]
VASP calculation (PBE) on a relaxed MgZr2Br crystal. Values from VASP.

Values from the calculation:
The calculated volume is 88.3 Å³/cell. The total energy is -19.275 eV/cell. As for the energy above the most stable polymorph in this dataset: 0.549 eV per atom. As for the space-group type: No. 225. For the energy relative to the elements, uncorrected, the calculation gives 1.1 eV/f.u.

Quantum ESPRESSO input file:
```
&SYSTEM
  ibrav = 0, nat = 4, ntyp = 3
/
ATOMIC_SPECIES
Zr 91.22 Zr.upf
Br 79.90 Br.upf
Mg 24.30 Mg.upf
ATOMIC_POSITIONS crystal
Zr 0.750 0.750 0.750
Br 0.500 0.500 0.500
Zr 0.250 0.250 0.250
Mg 0.000 0.000 0.000
CELL_PARAMETERS angstrom
0.000 3.534 3.534
3.534 0.000 3.534
3.534 3.534 0.000
```

=====

[7]
VASP calculation (PBE) on a relaxed Pa2CoSe3 crystal. Values from VASP.

Values from the calculation:
The calculated volume is 514.6 Å³/cell. The total energy is -172.893 eV/cell. As for the space-group type: No. 62. For the energy relative to the elements, uncorrected, the calculation gives -6.7 eV/f.u.

Quantum ESPRESSO input file:
```
&SYSTEM
  ibrav = 0, nat = 24, ntyp = 3
/
ATOMIC_SPECIES
Se 78.96 Se.upf
Co 58.93 Co.upf
Pa 231.04 Pa.upf
ATOMIC_POSITIONS crystal
Se 0.250 0.441 0.384
Co 0.750 0.707 0.326
Pa 0.750 0.184 0.030
Se 0.750 0.205 0.294
Se 0.250 0.386 0.055
Pa 0.250 0.816 0.970
Pa 0.750 0.316 0.530
Se 0.750 0.559 0.616
Se 0.250 0.795 0.706
Se 0.750 0.941 0.116
Se 0.750 0.295 0.794
Se 0.250 0.705 0.206
Pa 0.250 0.684 0.470
Co 0.750 0.793 0.826
Pa 0.750 0.505 0.210
Se 0.750 0.614 0.945
Co 0.250 0.293 0.674
Pa 0.250 0.005 0.290
Pa 0.250 0.495 0.790
Pa 0.750 0.995 0.710
Se 0.250 0.114 0.555
Se 0.250 0.059 0.884
Co 0.250 0.207 0.174
Se 0.750 0.886 0.445
CELL_PARAMETERS angstrom
3.984 0.000 0.000
0.000 11.172 0.000
0.000 0.000 11.562
```

=====

[8]
VASP calculation (PBE) on a relaxed Pr2VGa crystal. Values from VASP.

Values from the calculation:
The calculated volume is 109.6 Å³/cell. The calculation puts the energy of formation at 485 meV/atom. The total energy is -19.764 eV/cell. As for the space-group type: No. 166.

Quantum ESPRESSO input file:
```
&SYSTEM
  ibrav = 0, nat = 4, ntyp = 3
/
ATOMIC_SPECIES
Pr 140.91 Pr.upf
V 50.94 V.upf
Ga 69.72 Ga.upf
ATOMIC_POSITIONS crystal
Pr 0.092 0.092 0.725
V 0.000 0.000 0.000
Ga 0.500 0.500 0.500
Pr 0.908 0.908 0.275
CELL_PARAMETERS angstrom
3.437 0.000 0.000
1.719 2.977 0.000
1.719 0.992 10.712
```

=====

[9]
VASP calculation (PBE) on a relaxed Sm4C2Br crystal. Values from VASP.

Values from the calculation:
The calculated volume is 165.8 Å³/cell. The total energy is -43.060 eV/cell. As for the space-group type: No. 166. For the energy relative to the elements, uncorrected, the calculation gives -4.1 eV/f.u.

Quantum ESPRESSO input file:
```
&SYSTEM
  ibrav = 0, nat = 7, ntyp = 3
/
ATOMIC_SPECIES
Sm 150.36 Sm.upf
C 12.01 C.upf
Br 79.90 Br.upf
ATOMIC_POSITIONS crystal
Sm 0.277 0.277 0.170
C 0.421 0.421 0.736
Sm 0.122 0.122 0.633
Br 0.000 0.000 0.000
Sm 0.723 0.723 0.830
C 0.579 0.579 0.264
Sm 0.878 0.878 0.367
CELL_PARAMETERS angstrom
-2.440 -2.663 -0.853
1.139 -3.514 -0.359
-2.813 -4.210 13.121
```

=====

[10]
VASP calculation (PBE) on a relaxed CaTaPb2 crystal. Values from VASP.

Values from the calculation:
The calculated volume is 101.1 Å³/cell. The calculation puts the energy of formation at 325 meV/atom. The total energy is -19.971 eV/cell. As for the space-group type: No. 8.

Quantum ESPRESSO input file:
```
&SYSTEM
  ibrav = 0, nat = 4, ntyp = 3
/
ATOMIC_SPECIES
Ta 180.95 Ta.upf
Ca 40.08 Ca.upf
Pb 207.20 Pb.upf
ATOMIC_POSITIONS crystal
Ta 0.501 0.501 0.473
Ca 0.753 0.753 0.777
Pb 0.005 0.005 0.964
Pb 0.241 0.241 0.286
CELL_PARAMETERS angstrom
-1.295 -5.777 -1.244
1.935 -5.601 -1.216
0.036 -1.470 5.165
```

=====

[11]
VASP calculation (PBE) on a relaxed Ho5Lu crystal. Values from VASP.

Values from the calculation:
The calculated volume is 182.5 Å³/cell. The calculation puts the energy of formation at 23 meV/atom. The total energy is -27.272 eV/cell. As for the space-group type: No. 65.

Quantum ESPRESSO input file:
```
&SYSTEM
  ibrav = 0, nat = 6, ntyp = 2
/
ATOMIC_SPECIES
Ho 164.93 Ho.upf
Lu 174.97 Lu.upf
ATOMIC_POSITIONS crystal
Ho 0.500 0.833 0.667
Ho 0.500 0.167 0.333
Ho 0.500 0.500 0.000
Lu 0.000 0.000 0.000
Ho 0.000 0.666 0.332
Ho 0.000 0.334 0.668
CELL_PARAMETERS angstrom
-1.451 -3.295 3.400
4.632 -1.737 0.294
-0.821 5.770 5.242
```

=====

[12]
VASP calculation (PBE) on a relaxed TbTmTl2S4 crystal. Values from VASP.

Values from the calculation:
The calculated volume is 209.9 Å³/cell. The total energy is -42.246 eV/cell. As for the space-group type: No. 10. For the energy relative to the elements, uncorrected, the calculation gives -11.9 eV/f.u.

Quantum ESPRESSO input file:
```
&SYSTEM
  ibrav = 0, nat = 8, ntyp = 4
/
ATOMIC_SPECIES
Tm 168.93 Tm.upf
S 32.06 S.upf
Tb 158.93 Tb.upf
Tl 204.38 Tl.upf
ATOMIC_POSITIONS crystal
Tm 0.000 0.000 0.000
S 0.000 0.737 0.198
S 0.500 0.228 0.196
Tb 0.500 0.500 0.000
Tl 0.000 0.500 0.500
S 0.000 0.263 0.802
S 0.500 0.772 0.804
Tl 0.500 0.000 0.500
CELL_PARAMETERS angstrom
-0.729 1.350 3.708
-0.228 -6.543 2.337
7.471 2.411 0.592
```

=====

no.,magnetic moment (μB per cell)
1,0.004
2,3.906
3,0.000
4,5.839
5,0.000
6,0.001
7,2.602
8,3.626
9,0.000
10,0.109
11,0.001
12,0.000